# MnAgIF2 (PBE with a Hubbard U, optimized geometry)
data_MnAgIF2
_chemical_formula_sum 'Mn1 Ag1 I1 F2'
_cell_length_a 4.143
_cell_length_b 4.143
_cell_length_c 6.371
_cell_angle_alpha 90.00
_cell_angle_beta 90.00
_cell_angle_gamma 90.00
_symmetry_space_group_name_H-M 'P 4/m m m'
_symmetry_Int_Tables_number 123
_symmetry_space_group_name_Hall '-P 4 2'
loop_
_atom_site_label
_atom_site_type_symbol
_atom_site_fract_x
_atom_site_fract_y
_atom_site_fract_z
Mn1 Mn 0.000 0.000 0.000
Ag1 Ag 0.500 0.500 0.500
I1 I 0.000 0.000 0.500
F1 F 0.000 0.500 0.000
# energy: -4.6255 eV/atom
# calculated volume: 21.87 Å³/atom
# spin magnetization: 4.995 μB/f.u.